No. 1
Here is a relaxed RuC crystal from Alexandria via LeMat-Bulk. Energies are from PBE.

abc: 2.8508 5.2924 5.4843
angles: 90.00 90.00 90.00
With the nearest neighbours (Å) after each atom.
Sites, in units of the cell vectors:
Ru 0.7500 0.2643 0.9499  3 C 2.00-2.05
C 0.2500 0.0793 0.7507  3 Ru 2.00-2.05
Ru 0.2500 0.7643 0.5501  3 C 2.00-2.05
C 0.7500 0.5793 0.7493  3 Ru 2.00-2.05
Ru 0.7500 0.2357 0.4499  3 C 2.00-2.05
C 0.2500 0.4207 0.2507  3 Ru 2.00-2.05
C 0.7500 0.9207 0.2493  3 Ru 2.00-2.05
Ru 0.2500 0.7357 0.0501  3 C 2.00-2.05

Results
The crystal system is orthorhombic. As for the density of states at the Fermi level: 0.467 states/eV/atom. The calculation puts the excess energy over the best structure of this formula in the dataset at 0.266 eV/atom. The calculation puts the formation energy at 0.631 eV/atom.

=====

No. 2
Here is a relaxed Cs2PaPdS4 crystal from Alexandria via LeMat-Bulk. Energies are from PBE.

abc: 7.0560 7.0560 7.0560
angles: 102.40 113.12 113.12
With the nearest neighbours (Å) after each atom.
Sites, in units of the cell vectors:
S 0.6028 0.3272 0.4572  1 Pd 2.43, 1 Pa 2.54
Cs 0.0000 0.0000 0.0000  4 S 3.48
Cs 0.5000 0.7500 0.2500  8 S 3.68-3.78
S 0.1300 0.2756 0.6728  1 Pd 2.43, 1 Pa 2.54
Pd 0.0000 0.5000 0.5000  4 S 2.43
S 0.8700 0.5428 0.1456  1 Pd 2.43, 1 Pa 2.54
S 0.3972 0.8544 0.7244  1 Pd 2.43, 1 Pa 2.54
Pa 0.5000 0.2500 0.7500  4 S 2.54

Results
The crystal system is tetragonal. As for the density of states at the Fermi level: 0.598 states/eV/atom. The uncorrected formation energy is -1.022 eV/atom.